1.
Entry from Alexandria: a geometry-optimized Zr2IrI structure (GGA-PBE).

**Crystal system**: tetragonal
**Distance to the lowest polymorph of the same formula**: 248.8 meV/atom

Cell lengths 6.2446, 6.2446, 7.8280 Å; angles 66.49, 66.49, 90.00 degrees
Last column: nearest neighbours and their distance in Å.
Positions (direct):
Zr 0.8750 0.9365 0.7500  2 Ir 2.54
Zr 0.6865 0.1250 0.2500  2 Ir 2.54
Zr 0.3750 0.3135 0.7500  2 Ir 2.54
Zr 0.0635 0.6250 0.2500  2 Ir 2.54
I 0.2500 0.7500 0.5000  4 Zr 2.97
I 0.5000 0.5000 0.0000  4 Zr 2.97
Ir 0.0000 0.0000 0.0000  4 Zr 2.54
Ir 0.7500 0.2500 0.5000  4 Zr 2.54

***

2.
Entry from Alexandria: a geometry-optimized K4CoPb structure (GGA-PBE).

**Crystal system**: cubic
**ΔH_f (0 K)**: 786 meV/atom

Cell lengths 7.0001, 7.0001, 7.0001 Å; angles 60.00, 60.00, 60.00 degrees
Last column: nearest neighbours and their distance in Å.
Positions (direct):
K 0.3752 0.8744 0.3752  6 K 3.49-3.51
K 0.3752 0.3752 0.8744  6 K 3.49-3.51
K 0.8744 0.3752 0.3752  6 K 3.49-3.51
K 0.3752 0.3752 0.3752  6 K 3.49-3.51
Co 0.0000 0.0000 0.0000  12 K 4.10, 4 Pb 4.29
Pb 0.7500 0.7500 0.7500  12 K 4.10, 4 Co 4.29

***

3.
Entry from Alexandria: a geometry-optimized Y5Ge3 structure (GGA-PBE).

**Crystal system**: tetragonal
**Distance to the lowest polymorph of the same formula**: 75.0 meV/atom
**ΔH_f (0 K)**: -762 meV/atom

Cell lengths 7.7449, 7.7449, 8.6764 Å; angles 116.51, 116.51, 90.00 degrees
Last column: nearest neighbours and their distance in Å.
Positions (direct):
Y 0.6929 0.5166 0.7095  5 Ge 2.92-3.23
Y 0.0000 0.0000 0.0000  4 Ge 2.99
Y 0.0166 0.1929 0.7095  5 Ge 2.92-3.23
Y 0.1929 0.6929 0.7095  5 Ge 2.92-3.23
Y 0.9834 0.8071 0.2905  5 Ge 2.92-3.23
Y 0.5166 0.0166 0.7095  5 Ge 2.92-3.23
Y 0.3071 0.4834 0.2905  5 Ge 2.92-3.23
Y 0.5000 0.5000 0.0000  4 Ge 2.99
Y 0.8071 0.3071 0.2905  5 Ge 2.92-3.23
Y 0.4834 0.9834 0.2905  5 Ge 2.92-3.23
Ge 0.3596 0.1404 0.0000  8 Y 2.92-3.05, 1 Ge 3.08
Ge 0.1404 0.6404 0.0000  8 Y 2.92-3.05, 1 Ge 3.08
Ge 0.2500 0.2500 0.5000  10 Y 3.23-3.36
Ge 0.8596 0.3596 0.0000  8 Y 2.92-3.05, 1 Ge 3.08
Ge 0.7500 0.7500 0.5000  10 Y 3.23-3.36
Ge 0.6404 0.8596 0.0000  8 Y 2.92-3.05, 1 Ge 3.08

***

4.
Entry from Alexandria: a geometry-optimized BaFe2Mo structure (GGA-PBE).

**Crystal system**: trigonal
**Distance to the lowest polymorph of the same formula**: 451.5 meV/atom
**ΔH_f (0 K)**: 982 meV/atom

Cell lengths 9.0903, 9.0903, 9.0903 Å; angles 20.07, 20.07, 20.07 degrees
Last column: nearest neighbours and their distance in Å.
Positions (direct):
Fe 0.9789 0.9789 0.9789  3 Mo 2.47
Fe 0.5211 0.5211 0.5211  3 Mo 2.47
Ba 0.7500 0.7500 0.7500  6 Ba 3.17, 6 Fe 3.34
Mo 0.2500 0.2500 0.2500  6 Fe 2.47

***

5.
Entry from Alexandria: a geometry-optimized KHoAgCl6 structure (GGA-PBE).

**Crystal system**: triclinic

Cell lengths 6.7380, 6.7434, 7.0108 Å; angles 87.99, 92.10, 64.34 degrees
Last column: nearest neighbours and their distance in Å.
Positions (direct):
Cl 0.9821 0.6449 0.7464  1 Ho 2.55
Cl 0.6177 0.3722 0.7165  1 Ag 2.50, 1 Ho 2.70
Cl 0.9949 0.3671 0.3108  1 Ag 2.52, 1 Ho 2.69
Cl 0.3719 0.6169 0.2835  1 Ag 2.50, 1 Ho 2.70
Cl 0.3673 0.9953 0.6895  1 Ag 2.52, 1 Ho 2.69
Cl 0.6435 0.9813 0.2527  1 Ho 2.55
Ho 0.6787 0.6790 0.5000  6 Cl 2.55-2.70
K 0.0098 0.0098 0.0004  6 Cl 3.15-3.28
Ag 0.3339 0.3337 0.5001  4 Cl 2.50-2.52

***

6.
Entry from Alexandria: a geometry-optimized LiNd2ThS5 structure (GGA-PBE).

**Crystal system**: orthorhombic

Cell lengths 3.9818, 8.6044, 12.1321 Å; angles 90.00, 90.00, 103.38 degrees
Last column: nearest neighbours and their distance in Å.
Positions (direct):
S 0.6387 0.2774 0.5001  1 Li 2.47
S 0.6900 0.3801 0.8384  2 Th 2.81, 2 Nd 3.01
S 0.7084 0.4168 0.1665  2 Th 2.83, 3 Nd 2.92-3.03
S 0.2916 0.5832 0.6665  2 Th 2.83, 3 Nd 2.92-3.03
S 0.9572 0.9145 0.5686  2 Li 2.34
S 0.5000 0.9999 0.2847  1 Li 2.36
S 0.3100 0.6199 0.3384  2 Th 2.81, 2 Nd 3.01
S 0.0428 0.0855 0.0686  2 Li 2.34
S 0.3613 0.7226 0.0001  1 Li 2.47
S 0.5000 0.0001 0.7847  1 Li 2.36
Nd 0.1234 0.2467 0.2981  8 S 2.87-3.17
Nd 0.8766 0.7533 0.7981  8 S 2.87-3.17
Nd 0.1111 0.2223 0.6872  8 S 2.95-3.05
Nd 0.8889 0.7777 0.1872  8 S 2.95-3.05
Li 0.4918 0.9836 0.4786  4 S 2.34-2.47
Li 0.5082 0.0164 0.9786  4 S 2.34-2.47
Th 0.8050 0.6100 0.5017  6 S 2.68-2.83
Th 0.1950 0.3900 0.0017  6 S 2.68-2.83

***

7.
Entry from Alexandria: a geometry-optimized MnNiSbPt structure (GGA-PBE).

**Crystal system**: cubic

Cell lengths 4.4733, 4.4733, 4.4733 Å; angles 60.00, 60.00, 60.00 degrees
Last column: nearest neighbours and their distance in Å.
Positions (direct):
Ni 0.2500 0.2500 0.2500  4 Mn 2.74, 4 Sb 2.74
Pt 0.7500 0.7500 0.7500  4 Mn 2.74, 4 Sb 2.74
Mn 0.5000 0.5000 0.5000  4 Pt 2.74, 4 Ni 2.74
Sb 0.0000 0.0000 0.0000  4 Ni 2.74, 4 Pt 2.74

***

8.
Entry from Alexandria: a geometry-optimized CsSnS2Cl structure (GGA-PBE).

**Crystal system**: tetragonal
**Distance to the lowest polymorph of the same formula**: 1265.7 meV/atom

Cell lengths 5.4343, 5.4343, 5.9400 Å; angles 90.00, 90.00, 90.00 degrees
Last column: nearest neighbours and their distance in Å.
Positions (direct):
S 0.0000 0.5000 0.0000  2 Cs 2.72
S 0.5000 0.0000 0.0000  2 Cs 2.72
Sn 0.5000 0.5000 0.5000  4 Cl 3.84, 8 S 4.03
Cl 0.0000 0.0000 0.5000  2 Cs 2.97
Cs 0.0000 0.0000 0.0000  4 S 2.72, 2 Cl 2.97

***

Q: Which total magnetic moment values were calculated for the entries above? A: 0.00 2.22 0.33 2.97 1.06 0.00 4.31 0.00, in Bohr magnetons per cell.
Q: Which volume values were calculated for the entries above? A: 252.1 242.5 403.7 77.4 286.5 404.4 63.3 175.4, in Å³/cell.
Q: Which DFT total energy values were calculated for the entries above? A: -6.707 -1.748 -6.533 -6.437 -3.745 -6.244 -6.427 -2.466, in eV per atom.